# LiGeOs3

An optimized crystal structure of LiGeOs3 (PBEsol, Alexandria via LeMat-Bulk).

extended XYZ file:
```
5
Lattice="-0.731 2.901 -2.783 -1.843 -2.755 -2.388 -3.572 0.828 1.801" Properties=species:S:1:pos:R:3 pbc="T T T"
Os -0.921 -1.378 -1.194
Os -1.786 0.414 0.901
Os -0.365 1.450 -1.391
Li 0.000 0.000 0.000
Ge -3.073 0.487 -1.685
```



4
Lattice="-1.918 -1.913 0.164 2.568 -0.703 -0.623 1.869 -1.105 8.947" Properties=species:S:1:pos:R:3 comment="Ir2RuSe | Alexandria via LeMat-Bulk | PBEsol | optimized geometry" e_form_raw_ev_per_fu=2.24 pbc="T T T"
Ir 0.011 -0.006 0.051
Ir -0.482 -1.238 2.362
Ru 0.934 -0.552 4.469
Se 0.424 -1.774 6.703



Raw total energy values (in eV per cell) by entry order: -36.1, -31.4.